Here is an optimized crystal structure of Na5Hg5Au2 from the Alexandria database. Energies are from PBE.

Output
Symmetry: No. 12
N(E_F): 3.5 states/eV/cell
Calculated formation energy: -24.5 kJ/mol of atoms
Total magnetization: 0.0 μB per formula unit

```
Na5Hg5Au2
1.0
4.630 0.000 1.140
2.075 8.228 1.544
0.420 0.669 8.268
Na Hg Au
5 5 2
direct
0.500 0.500 0.500
0.375 0.329 0.922
0.324 0.029 0.324
0.676 0.971 0.676
0.625 0.671 0.078
0.935 0.764 0.367
0.239 0.727 0.796
0.761 0.273 0.204
0.065 0.236 0.633
0.000 0.000 0.000
0.857 0.556 0.731
0.143 0.444 0.269
```

Here is an optimized crystal structure of Na5Hg4Au2 from the Alexandria database. Energies are from PBE.

Output
Symmetry: No. 55
N(E_F): 6.4 states/eV/cell
Calculated formation energy: -26.3 kJ/mol of atoms
Total magnetization: 0.0 μB per formula unit

```
Na5Hg4Au2
1.0
-1.524 -2.164 -2.650
2.728 -6.499 3.738
-15.467 -0.937 9.659
Na Hg Au
10 8 4
direct
0.000 0.500 0.000
0.000 0.000 0.500
0.000 0.262 0.215
0.000 0.738 0.785
0.000 0.762 0.285
0.000 0.238 0.715
0.000 0.374 0.424
0.000 0.626 0.576
0.000 0.874 0.076
0.000 0.126 0.924
0.500 0.290 0.569
0.500 0.710 0.431
0.500 0.790 0.931
0.500 0.210 0.069
0.500 0.417 0.850
0.500 0.583 0.150
0.500 0.917 0.650
0.500 0.083 0.350
0.500 0.468 0.306
0.500 0.532 0.694
0.500 0.968 0.194
0.500 0.032 0.806
```

Here is an optimized crystal structure of Na3HgAu8 from the Alexandria database. Energies are from PBE.

Output
Symmetry: No. 160
N(E_F): 1.8 states/eV/cell
Calculated formation energy: -27.1 kJ/mol of atoms
Total magnetization: 0.0 μB per formula unit

```
Na3HgAu8
1.0
5.585 0.000 0.000
2.792 4.836 0.000
2.792 1.612 9.245
Na Hg Au
3 1 8
direct
0.375 0.375 0.874
0.998 0.998 0.005
0.502 0.502 0.494
0.874 0.874 0.379
0.940 0.438 0.184
0.435 0.937 0.690
0.438 0.438 0.184
0.937 0.937 0.690
0.188 0.188 0.437
0.688 0.688 0.937
0.438 0.940 0.184
0.937 0.435 0.690
```

Here is an optimized crystal structure of Na5Hg2Au4 from the Alexandria database. Energies are from PBE.

Output
Symmetry: No. 12
N(E_F): 2.8 states/eV/cell
Calculated formation energy: -16.5 kJ/mol of atoms
Total magnetization: 0.0 μB per formula unit

```
Na5Hg2Au4
1.0
-1.181 -4.432 -4.453
-1.353 -6.650 2.389
-7.671 -4.163 1.589
Na Hg Au
5 2 4
direct
0.150 0.279 0.949
0.850 0.721 0.051
0.000 0.500 0.500
0.622 0.279 0.949
0.378 0.721 0.051
0.241 0.833 0.685
0.759 0.167 0.315
0.442 0.766 0.350
0.558 0.234 0.650
0.764 0.739 0.734
0.236 0.261 0.266
```

Here is an optimized crystal structure of Na8HgAu2 from the Alexandria database. Energies are from PBE.

Output
Symmetry: No. 12
N(E_F): 3.1 states/eV/cell
Calculated formation energy: -19.5 kJ/mol of atoms
Total magnetization: 0.0 μB per formula unit

```
Na8HgAu2
1.0
4.961 0.000 0.000
0.000 7.513 -0.053
-2.480 -3.281 8.222
Na Hg Au
8 1 2
direct
0.398 0.541 0.796
0.672 0.941 0.345
0.806 0.711 0.613
0.972 0.235 0.944
0.194 0.289 0.387
0.328 0.059 0.655
0.602 0.459 0.204
0.028 0.765 0.056
0.500 0.000 0.000
0.817 0.316 0.635
0.183 0.684 0.365
```

Here is an optimized crystal structure of Na5Hg4Au from the Alexandria database. Energies are from PBE.

Output
Symmetry: No. 123
N(E_F): 3.2 states/eV/cell
Calculated formation energy: -25.1 kJ/mol of atoms
Total magnetization: 0.0 μB per formula unit

```
Na5Hg4Au
1.0
-0.319 3.600 0.986
-0.877 -1.034 3.492
17.371 0.321 4.456
Na Hg Au
5 4 1
direct
0.500 0.500 0.086
0.500 0.500 0.291
0.500 0.500 0.500
0.500 0.500 0.709
0.500 0.500 0.914
0.000 0.000 0.187
0.000 0.000 0.397
0.000 0.000 0.603
0.000 0.000 0.813
0.000 0.000 0.000
```

Here is an optimized crystal structure of Na5HgAu from the Alexandria database. Energies are from PBE.

Output
Symmetry: No. 15
N(E_F): 3.6 states/eV/cell
Distance to the lowest polymorph of the same formula: 8 meV per atom
Calculated formation energy: -17.8 kJ/mol of atoms
Total magnetization: 0.0 μB per formula unit

```
Na5HgAu
1.0
5.085 -0.830 -0.356
0.826 5.085 -0.356
1.279 0.921 14.689
Na Hg Au
10 2 2
direct
0.995 0.503 0.107
0.010 0.497 0.607
0.503 0.995 0.607
0.997 0.003 0.250
0.503 0.990 0.893
0.497 0.010 0.107
0.003 0.997 0.750
0.497 0.005 0.393
0.990 0.503 0.393
0.005 0.497 0.893
0.494 0.506 0.250
0.506 0.494 0.750
0.000 0.000 0.000
0.000 0.000 0.500
```

Here is an optimized crystal structure of Na8Hg2Au3 from the Alexandria database. Energies are from PBE.

Output
Symmetry: No. 12
N(E_F): 3.9 states/eV/cell
Calculated formation energy: -18.3 kJ/mol of atoms
Total magnetization: 0.0 μB per formula unit

```
Na8Hg2Au3
1.0
-1.796 -4.882 1.321
-1.681 -3.599 -7.236
6.605 -4.894 -0.753
Na Hg Au
8 2 3
direct
0.198 0.571 0.571
0.802 0.429 0.429
0.921 0.129 0.129
0.079 0.871 0.871
0.618 0.629 0.086
0.618 0.086 0.629
0.382 0.914 0.371
0.382 0.371 0.914
0.372 0.307 0.307
0.628 0.693 0.693
0.500 0.000 0.000
0.000 0.260 0.740
0.000 0.740 0.260
```

Here is an optimized crystal structure of Na2Hg2Au from the Alexandria database. Energies are from PBE.

Output
Symmetry: No. 139
N(E_F): 5.9 states/eV/cell
Distance to the lowest polymorph of the same formula: 126 meV per atom
Calculated formation energy: -11.4 kJ/mol of atoms
Total magnetization: 0.0 μB per formula unit

```
Na2Hg2Au
1.0
-1.238 2.119 3.228
2.770 -1.874 2.293
6.416 6.225 0.922
Na Au Hg
2 1 2
direct
0.409 0.409 0.182
0.591 0.591 0.818
0.000 0.000 0.000
0.750 0.250 0.500
0.250 0.750 0.500
```

Here is an optimized crystal structure of NaHg4Au from the Alexandria database. Energies are from PBE.

Output
Symmetry: No. 51
N(E_F): 2.7 states/eV/cell
Distance to the lowest polymorph of the same formula: 0 meV per atom
Calculated formation energy: -11.8 kJ/mol of atoms
Total magnetization: 0.0 μB per formula unit

```
NaHg4Au
1.0
4.142 0.000 0.000
0.000 8.085 0.000
0.000 0.000 8.995
Na Hg Au
2 8 2
direct
0.000 0.585 0.750
0.000 0.415 0.250
0.000 0.000 0.500
0.000 0.000 0.000
0.500 0.885 0.750
0.500 0.115 0.250
0.500 0.674 0.049
0.500 0.326 0.951
0.500 0.674 0.451
0.500 0.326 0.549
0.000 0.211 0.750
0.000 0.789 0.250
```

Here is an optimized crystal structure of Na6Hg3Au from the Alexandria database. Energies are from PBE.

Output
Symmetry: No. 11
N(E_F): 7.4 states/eV/cell
Distance to the lowest polymorph of the same formula: 30 meV per atom
Calculated formation energy: -17.9 kJ/mol of atoms
Total magnetization: 0.0 μB per formula unit

```
Na6Hg3Au
1.0
-2.849 -1.903 1.785
1.407 -9.225 -7.593
7.492 -0.430 11.498
Na Hg Au
12 6 2
direct
0.750 0.517 0.630
0.250 0.483 0.370
0.750 0.819 0.111
0.250 0.181 0.889
0.750 0.388 0.130
0.250 0.612 0.870
0.750 0.713 0.305
0.250 0.287 0.695
0.750 0.087 0.455
0.250 0.913 0.545
0.750 0.883 0.772
0.250 0.117 0.228
0.750 0.416 0.901
0.250 0.584 0.099
0.750 0.697 0.526
0.250 0.303 0.474
0.750 0.109 0.037
0.250 0.891 0.963
0.750 0.097 0.698
0.250 0.903 0.302
```

Here is an optimized crystal structure of Na3HgAu from the Alexandria database. Energies are from PBE.

Output
Symmetry: No. 2
N(E_F): 3.5 states/eV/cell
Distance to the lowest polymorph of the same formula: 0 meV per atom
Calculated formation energy: -22.0 kJ/mol of atoms
Total magnetization: 0.0 μB per formula unit

```
Na3HgAu
1.0
6.230 -3.308 3.947
-0.347 5.554 0.061
0.891 -3.047 7.875
Na Hg Au
6 2 2
direct
0.251 0.050 0.734
0.192 0.819 0.378
0.261 0.654 0.937
0.808 0.181 0.622
0.749 0.950 0.266
0.739 0.346 0.063
0.275 0.260 0.143
0.725 0.740 0.857
0.297 0.462 0.520
0.703 0.538 0.480
```